## C2Se (meta-GGA SCAN)

Data for a crystal of C2Se relaxed with PBEsol.

Cell: 6.3364 6.3364 6.3364 Å, 90.00 90.00 90.00°
With the nearest neighbours (Å) after each atom.
Space group Fd-3m (No. 227, origin choice 2)
One atom of each set of equivalent atoms:
C1 0.0000 0.0000 0.0000  6 C 2.24
Se1 0.1250 0.1250 0.6250  12 C 2.63, 4 Se 2.74

Output
- mass density (g cm⁻³) = 5.4
- formation energy without anion corrections (eV per formula unit) = 11.1
- offset from the most stable computed form (meV per atom) = 3421